Density functional theory data (PBE+U) for MgMoNF2 after structural relaxation.

Summary:
E above lowest polymorph ... 0.00 eV per formula unit
N(E_F) ... 1.8 states/eV per cell
Magnetization ... 3.00 μB per formula unit
Calculated density ... 4.51 Mg/m³
V ... 12.7 Å³/atom

abc: 3.565 3.565 4.988
angles: 90.00 90.00 90.00
Space group P4/mmm (No. 123)
Inequivalent atoms, fractional coordinates:
Mg  0.000  0.000  0.000 x1
Mo  0.500  0.500  0.500 x1
N  0.000  0.000  0.500 x1
F  0.000  0.500  0.000 x2